Computed, not measured: a geometry-optimized Gd2PtAu structure at the GGA-PBE level of DFT.

## Properties
The calculation puts the final energy at -22.9 eV per formula unit. The calculated volume is 23.37 Å³/atom. As for the space group: P2_1/m, No. 11. As for the crystal system: monoclinic. For the magnetic moment, the calculation gives 0.015 μB per cell. As for the calculated formation energy: -1.07 eV per atom.

```
8
Lattice="5.643 0.000 0.000 0.000 4.594 0.000 -0.105 0.000 7.211" Properties=species:S:1:pos:R:3 pbc="T T T"
Au 0.818 3.445 3.309
Au 4.721 1.148 3.902
Gd 1.952 1.148 5.026
Gd 3.587 3.445 2.185
Gd 4.729 3.445 5.967
Gd 0.809 1.148 1.243
Pt 3.720 1.148 0.320
Pt 1.819 3.445 6.891
```

Computed, not measured: a geometry-optimized TmAuSO structure at the GGA-PBE level of DFT.

## Properties
The calculation puts the final energy at -24.4 eV per formula unit. The calculated volume is 17.03 Å³/atom. As for the space group: P2_1/c, No. 14. As for the crystal system: monoclinic. For the magnetic moment, the calculation gives 0.001 μB per cell.

```
16
Lattice="-7.645 -3.217 -1.152 1.433 -4.544 3.181 -1.870 2.667 4.653" Properties=species:S:1:pos:R:3 pbc="T T T"
O -4.540 -1.466 2.513
O -5.471 -0.148 4.850
O -2.612 -4.946 1.831
O -3.542 -3.628 4.169
S -3.100 1.199 3.687
S -6.473 -3.196 4.086
S -1.609 -1.897 2.595
S -4.982 -6.293 2.994
Tm -3.650 -1.441 4.581
Tm -4.432 -3.652 2.100
Tm -3.387 -0.646 0.765
Tm -4.696 -4.447 5.917
Au 0.562 -2.643 3.069
Au -8.645 -2.450 3.613
Au -7.887 -3.220 0.892
Au -0.195 -1.873 5.789
```

Computed, not measured: a geometry-optimized CdBNO structure at the GGA-PBE level of DFT.

## Properties
The calculation puts the final energy at -19.6 eV per formula unit. The calculated volume is 11.62 Å³/atom. As for the space group: P4/nmm, No. 129. As for the crystal system: tetragonal.

```
8
Lattice="3.434 0.000 0.000 0.000 3.434 0.000 0.000 0.000 7.888" Properties=species:S:1:pos:R:3 pbc="T T T"
Cd 0.858 0.858 1.325
Cd 2.575 2.575 6.563
O 0.858 2.575 0.000
O 2.575 0.858 0.000
N 2.575 2.575 4.258
N 0.858 0.858 3.630
B 2.575 0.858 3.944
B 0.858 2.575 3.944
```

Computed, not measured: a geometry-optimized PmSi2Os2 structure at the GGA-PBE level of DFT.

## Properties
The calculation puts the final energy at -41.6 eV per formula unit. The calculated volume is 17.32 Å³/atom. As for the space group: I4/mmm, No. 139. As for the crystal system: tetragonal. For the magnetic moment, the calculation gives 0.005 μB per cell.

```
5
Lattice="-2.096 2.096 4.931 2.096 -2.096 4.931 2.096 2.096 -4.931" Properties=species:S:1:pos:R:3 pbc="T T T"
Pm 0.000 0.000 0.000
Si 0.000 0.000 3.644
Si 0.000 0.000 6.218
Os 0.000 2.096 2.465
Os 2.096 0.000 2.465
```